[1]
VASP calculation (PBE-GGA) on an optimized crystal structure of Be2AgSb.

Cell lengths 3.1699, 3.1699, 6.7528 Å; angles 90.00, 90.00, 97.15 degrees
Positions (direct):
Sb (0.0000, 0.0000, 0.4209)
Be (0.5000, 0.5000, 0.1949)
Be (0.0000, 0.0000, 0.0346)
Ag (0.5000, 0.5000, 0.8496)

Computed properties:
ΔE_f (raw) = 436 meV per atom
Calculated total energy = -3.171 eV per atom

---

[2]
VASP calculation (PBE-GGA) on an optimized crystal structure of CeTmNiS3.

Cell lengths 3.7824, 7.9659, 8.2700 Å; angles 102.19, 90.00, 90.00 degrees
Site moments in Bohr magnetons follow the coordinates.
Positions (direct):
Ce (0.2500, 0.1712, 0.2393)  0.76
Ce (0.7500, 0.8288, 0.7607)  0.76
S (0.2500, 0.5766, 0.8338)  -0.01
S (0.2500, 0.1021, 0.8656)  -0.01
S (0.7500, 0.2132, 0.5032)  -0.02
S (0.2500, 0.7868, 0.4968)  -0.02
S (0.7500, 0.8979, 0.1344)  -0.01
S (0.7500, 0.4234, 0.1662)  -0.01
Tm (0.7500, 0.3307, 0.8259)  0.01
Tm (0.2500, 0.6693, 0.1741)  0.01
Ni (0.2500, 0.0898, 0.5915)  -0.09
Ni (0.7500, 0.9102, 0.4085)  -0.09

Computed properties:
ΔE_f (raw) = -1680 meV per atom
Calculated total energy = -6.441 eV per atom

---

[3]
VASP calculation (PBE-GGA) on an optimized crystal structure of ZnNiW.

Cell lengths 2.6588, 4.1969, 7.3808 Å; angles 90.00, 94.20, 90.00 degrees
Positions (direct):
W (0.3681, 0.0000, 0.5654)
W (0.0148, 0.5000, 0.3682)
Zn (0.9265, 0.0000, 0.9026)
Zn (0.4906, 0.0000, 0.2062)
Ni (0.8645, 0.5000, 0.7168)
Ni (0.4340, 0.5000, 0.0320)

Computed properties:
Energy relative to the lowest polymorph listed for this composition = 0.0344 eV/atom
Calculated total energy = -6.611 eV per atom
DFT formation energy = 0.18 eV per formula unit

---

[4]
VASP calculation (PBE-GGA) on an optimized crystal structure of Mg3BiN.

Cell lengths 7.8754, 7.8754, 5.6053 Å; angles 90.00, 90.00, 133.90 degrees
Positions (direct):
Mg (0.0619, 0.4236, 0.7500)
Mg (0.9381, 0.5764, 0.2500)
Mg (0.0000, 0.0000, 0.5000)
Mg (0.4236, 0.0619, 0.2500)
Mg (0.5764, 0.9381, 0.7500)
Mg (0.0000, 0.0000, 0.0000)
Bi (0.6333, 0.3667, 0.7500)
Bi (0.3667, 0.6333, 0.2500)
N (0.0914, 0.9086, 0.2500)
N (0.9086, 0.0914, 0.7500)

Computed properties:
ΔE_f (raw) = -216 meV per atom
Calculated total energy = -3.614 eV per atom

---

[5]
VASP calculation (PBE-GGA) on an optimized crystal structure of Dy2TiGa4Au3.

Cell lengths 4.1479, 4.1479, 11.5601 Å; angles 90.00, 90.00, 90.00 degrees
Positions (direct):
Dy (0.0000, 0.5000, 0.7442)
Dy (0.5000, 0.0000, 0.2558)
Ga (0.5000, 0.0000, 0.6410)
Ga (0.0000, 0.0000, 0.0000)
Ga (0.0000, 0.5000, 0.3590)
Ga (0.5000, 0.5000, 0.0000)
Au (0.5000, 0.0000, 0.8586)
Au (0.0000, 0.0000, 0.5000)
Au (0.0000, 0.5000, 0.1414)
Ti (0.5000, 0.5000, 0.5000)

Computed properties:
Calculated total energy = -4.477 eV per atom
DFT formation energy = -5.73 eV per formula unit

---

[6]
VASP calculation (PBE-GGA) on an optimized crystal structure of LiAgMo2.

Cell lengths 2.6144, 4.1712, 5.8531 Å; angles 90.00, 90.00, 90.00 degrees
Positions (direct):
Mo (0.0000, 0.0000, 0.0084)
Mo (0.5000, 0.5000, 0.2332)
Li (0.5000, 0.5000, 0.7378)
Ag (0.0000, 0.0000, 0.5206)

Computed properties:
Energy relative to the lowest polymorph listed for this composition = 0.1840 eV/atom
Calculated total energy = -6.224 eV per atom
DFT formation energy = 1.53 eV per formula unit

---

[7]
VASP calculation (PBE-GGA) on an optimized crystal structure of Gd3ZrH.

Cell lengths 4.9027, 4.9027, 4.9027 Å; angles 90.00, 90.00, 90.00 degrees
Site moments in Bohr magnetons follow the coordinates.
Positions (direct):
H (0.0000, 0.0000, 0.0000)  -0.02
Gd (0.0000, 0.5000, 0.0000)  7.10
Gd (0.0000, 0.0000, 0.5000)  7.10
Gd (0.5000, 0.0000, 0.0000)  7.10
Zr (0.5000, 0.5000, 0.5000)  -0.46

Computed properties:
Calculated total energy = -10.918 eV per atom

---

[8]
VASP calculation (PBE-GGA) on an optimized crystal structure of MgTl4Ag.

Cell lengths 6.3511, 6.3511, 6.3511 Å; angles 60.00, 60.00, 60.00 degrees
Positions (direct):
Tl (0.8742, 0.3753, 0.3753)
Tl (0.3753, 0.3753, 0.3753)
Tl (0.3753, 0.3753, 0.8742)
Tl (0.3753, 0.8742, 0.3753)
Ag (0.7500, 0.7500, 0.7500)
Mg (0.0000, 0.0000, 0.0000)

Computed properties:
Calculated total energy = -2.029 eV per atom
DFT formation energy = 1.74 eV per formula unit